# 1
The following is a PBE calculation of crystalline InSb2Pd8 at its relaxed geometry, from Alexandria.

a = 4.748 Å, b = 5.943 Å, c = 7.718 Å
α = 111.25°, β = 106.26°, γ = 93.91°
Positions (direct):
Pd1 0.910 0.472 0.527
Pd2 0.765 0.251 0.909
Pd3 0.282 0.348 0.250
Pd4 0.484 0.767 0.664
Pd5 0.729 0.014 0.155
Pd6 0.941 0.007 0.568
Pd7 0.291 0.853 0.291
Pd8 0.271 0.489 0.909
In1 0.124 0.914 0.909
Sb1 0.440 0.283 0.589
Sb2 0.761 0.603 0.229

Values from the calculation:
size of the total moment	0.00	μB per formula unit
final energy	-5.19	eV/atom
offset from the most stable computed form	0.09	eV per formula unit
formation energy without anion corrections	-40	kJ/mol of atoms

# 2
The following is a PBE calculation of crystalline NiAgGe2 at its relaxed geometry, from Alexandria.

a = 4.013 Å, b = 4.013 Å, c = 5.394 Å
α = 68.16°, β = 68.16°, γ = 60.00°
Positions (direct):
Ge1 0.057 0.057 0.829
Ge2 0.273 0.273 0.181
Ni1 0.678 0.678 0.967
Ag1 0.492 0.492 0.523

Values from the calculation:
size of the total moment	0.00	μB per formula unit
final energy	-4.43	eV/atom
offset from the most stable computed form	0.00	eV per formula unit
energy of formation	0.77	kcal/mol of atoms

# 3
The following is a PBE calculation of crystalline La2MoPb at its relaxed geometry, from Alexandria.

a = 3.627 Å, b = 3.627 Å, c = 10.310 Å
α = 85.20°, β = 85.20°, γ = 57.95°
Positions (direct):
Pb1 0.250 0.250 0.250
La1 0.516 0.516 0.536
La2 0.984 0.984 0.964
Mo1 0.750 0.750 0.750

Values from the calculation:
size of the total moment	0.00	μB per formula unit
final energy	-5.83	eV/atom
energy of formation	6.14	kcal/mol of atoms

# 4
The following is a PBE calculation of crystalline TlZn3Rh at its relaxed geometry, from Alexandria.

a = 4.850 Å, b = 4.850 Å, c = 4.850 Å
α = 90.00°, β = 90.00°, γ = 90.00°
Positions (direct):
Zn1 0.000 0.000 0.500
Zn2 0.500 0.000 0.000
Zn3 0.000 0.500 0.000
Tl1 0.500 0.500 0.500
Rh1 0.000 0.000 0.000

Values from the calculation:
size of the total moment	0.00	μB per formula unit
final energy	-2.66	eV/atom
offset from the most stable computed form	0.00	eV per formula unit
energy of formation	1.09	kcal/mol of atoms

Number 4 is which compound?
TlZn3Rh

Look up the final energy of the second one.
-4.43 eV/atom

Please write out number 2 again, unchanged.
The following is a PBE calculation of crystalline NiAgGe2 at its relaxed geometry, from Alexandria.

a = 4.013 Å, b = 4.013 Å, c = 5.394 Å
α = 68.16°, β = 68.16°, γ = 60.00°
Positions (direct):
Ge1 0.057 0.057 0.829
Ge2 0.273 0.273 0.181
Ni1 0.678 0.678 0.967
Ag1 0.492 0.492 0.523

Values from the calculation:
size of the total moment	0.00	μB per formula unit
final energy	-4.43	eV/atom
offset from the most stable computed form	0.00	eV per formula unit
energy of formation	0.77	kcal/mol of atoms